Entry 1:
Mn2InIr: relaxed, PBE-GGA.

Computed properties:
Space-group type ... Cmmm (65)
Energy relative to the elements ... 79 meV per atom
Magnetic moment ... 6.88 μB per cell

```
data_Mn2InIr
_symmetry_space_group_name_H-M 'P 1'
_symmetry_Int_Tables_number 1
_cell_length_a 4.6388
_cell_length_b 4.6388
_cell_length_c 2.9655
_cell_angle_alpha 90.00
_cell_angle_beta 90.00
_cell_angle_gamma 104.15
loop_
_symmetry_equiv_pos_as_xyz
'x,y,z'
loop_
_atom_site_label
_atom_site_type_symbol
_atom_site_fract_x
_atom_site_fract_y
_atom_site_fract_z
Mn1 Mn 0.0000 0.5000 0.0000
Mn2 Mn 0.5000 0.0000 0.0000
In1 In 0.0000 0.0000 0.5000
Ir1 Ir 0.5000 0.5000 0.5000
```


Entry 2:
Sm4Si2I3: relaxed, PBE-GGA.

Computed properties:
Space-group type ... C2/c (15)
Formation energy without anion corrections ... -0.7853 eV per atom
Magnetic moment ... 1.62 μB per cell
Relative energy among the computed polymorphs ... 273 meV/atom

```
data_Sm4Si2I3
_symmetry_space_group_name_H-M 'P 1'
_symmetry_Int_Tables_number 1
_cell_length_a 11.9546
_cell_length_b 11.9546
_cell_length_c 5.9070
_cell_angle_alpha 99.78
_cell_angle_beta 99.78
_cell_angle_gamma 54.82
loop_
_symmetry_equiv_pos_as_xyz
'x,y,z'
loop_
_atom_site_label
_atom_site_type_symbol
_atom_site_fract_x
_atom_site_fract_y
_atom_site_fract_z
Sm1 Sm 0.0588 0.6860 0.6498
Sm2 Sm 0.1464 0.3502 0.8916
Sm3 Sm 0.3140 0.9412 0.8502
Sm4 Sm 0.3502 0.1464 0.3916
Sm5 Sm 0.6498 0.8536 0.6084
Sm6 Sm 0.6860 0.0588 0.1498
Sm7 Sm 0.8536 0.6498 0.1084
Sm8 Sm 0.9412 0.3140 0.3502
Si1 Si 0.1034 0.4310 0.3997
Si2 Si 0.4310 0.1034 0.8997
Si3 Si 0.5690 0.8966 0.1003
Si4 Si 0.8966 0.5690 0.6003
I1 I 0.0119 0.7983 0.1771
I2 I 0.2017 0.9881 0.3229
I3 I 0.3407 0.6593 0.7500
I4 I 0.6593 0.3407 0.2500
I5 I 0.7983 0.0119 0.6771
I6 I 0.9881 0.2017 0.8229
```